DFT (PBE) results for a relaxed structure of CaAc2I2N2.

abc: 4.542 4.542 10.412
angles: 102.60 102.60 90.00
Positions (direct):
I1 0.170 0.170 0.339
I2 0.830 0.830 0.661
Ac1 0.580 0.580 0.160
Ac2 0.420 0.420 0.840
N1 0.000 0.500 0.000
N2 0.500 0.000 0.000
Ca1 0.000 0.000 0.000

Computed properties:
- total moment (μB/cell) = 0.00
- D(E_F) (states/eV/atom) = 0.011
- raw formation energy (eV/atom) = -1.20
- SG = I4/mmm